{"formula": "InWS2", "functional": "PBE", "state": "optimized geometry", "lattice_angstrom": [[1.8683, 0.0000, 9.1636], [-0.9342, 1.6180, 9.1636], [-0.9342, -1.6180, 9.1636]], "species": ["S", "S", "W", "In"], "fractional_positions": [[0.8906, 0.8906, 0.8906], [0.1094, 0.1094, 0.1094], [0.5000, 0.5000, 0.5000], [0.0000, 0.0000, 0.0000]], "e_form_raw_ev_per_atom": -0.385, "dft_energy_ev_per_atom": -6.37, "spacegroup": "R-3m", "dos_at_fermi_per_ev_cell": 3.00}